PBE-GGA DyCd3Hg6, relaxed; theoretical density = 10.92 g cm⁻³; SG = R-3c; N(E_F) = 0.34 states/eV per atom; E_tot = -1.03 eV per atom; total magnetic moment = 0.00 Bohr magnetons per cell; energy relative to the lowest polymorph listed for this composition = 0 meV/atom
1.0
8.194 -0.510 -1.846
-2.195 7.911 -1.846
-0.413 -0.510 8.389
Hg Cd Dy
12 6 2
Direct
0.191 0.475 0.645
0.145 0.975 0.691
0.809 0.525 0.355
0.025 0.309 0.855
0.691 0.145 0.975
0.975 0.691 0.145
0.525 0.355 0.809
0.309 0.855 0.025
0.475 0.645 0.191
0.855 0.025 0.309
0.355 0.809 0.525
0.645 0.191 0.475
0.250 0.093 0.407
0.593 0.750 0.907
0.907 0.593 0.750
0.407 0.250 0.093
0.750 0.907 0.593
0.093 0.407 0.250
0.000 0.000 0.000
0.500 0.500 0.500